Compound: PbW2Se
Source: the Alexandria database
Functional: PBE
Structure: optimized geometry

abc: 4.306 4.306 9.692
angles: 77.17 77.17 90.00
Fractional coordinates of all 8 atoms:
Pb 0.000 0.000 0.000
Pb 0.750 0.250 0.500
Se 0.500 0.500 0.000
Se 0.250 0.750 0.500
W 0.543 0.125 0.250
W 0.207 0.625 0.250
W 0.375 0.457 0.750
W 0.875 0.793 0.750

## Properties
Magnetization = 0.00 μB/f.u.
Energy above the lowest structure with this stoichiometry = 636 meV per atom
Uncorrected formation energy = 0.98 eV per atom